Compound: RbRuS2
Source: the Alexandria database
Functional: GGA-PBE
Structure: optimized geometry

Results
- Total energy: -0.1522 hartree per atom
- Space group: No. 225
- DOS(E_F): 2.57 states/eV per cell
- Energy relative to the elements, uncorrected: 484 meV per atom
- Volume: 75.4 Å³/f.u.

Cell: 4.7415 4.7415 4.7415 Å, 60.00 60.00 60.00°
Fractional coordinates of all 4 atoms:
S1 0.7500 0.7500 0.7500
S2 0.2500 0.2500 0.2500
Rb1 0.0000 0.0000 0.0000
Ru1 0.5000 0.5000 0.5000